# 1
This record from Alexandria describes TbScTiN3 after structural relaxation. The functional is PBE-GGA.

Geometry as POSCAR:
```
TbScTiN3
1.0
3.257 0.000 0.000
0.000 6.669 0.856
0.000 -1.681 7.750
Tb Sc Ti N
2 2 2 6
Direct
0.750 0.839 0.810
0.250 0.161 0.190
0.250 0.634 0.124
0.750 0.366 0.876
0.250 0.133 0.586
0.750 0.867 0.414
0.250 0.824 0.545
0.750 0.868 0.161
0.750 0.407 0.135
0.750 0.176 0.455
0.250 0.593 0.865
0.250 0.132 0.839
```

Output
Formation energy from raw total energies (meV/atom): -1421.5

---

# 2
This record from Alexandria describes Na2PmHoF8 after structural relaxation. The functional is PBE-GGA.

Geometry as POSCAR:
```
Na2PmHoF8
1.0
5.533 0.000 0.000
0.000 5.533 0.000
-2.767 -2.767 5.466
Na Pm Ho F
2 1 1 8
Direct
0.750 0.250 0.500
0.000 0.000 0.000
0.500 0.500 0.000
0.250 0.750 0.500
0.141 0.629 0.745
0.604 0.629 0.745
0.371 0.396 0.255
0.883 0.859 0.255
0.604 0.117 0.745
0.371 0.859 0.255
0.141 0.117 0.745
0.883 0.396 0.255
```

Output
Formation energy from raw total energies (meV/atom): -3697.5

---

# 3
This record from Alexandria describes GaCuTc2H after structural relaxation. The functional is PBE-GGA.

Geometry as POSCAR:
```
GaCuTc2H
1.0
-3.322 -1.990 -0.531
-0.296 -0.537 3.860
-2.004 3.265 0.301
H Cu Tc Ga
1 1 2 1
Direct
0.000 0.000 0.000
0.000 0.000 0.500
0.000 0.500 0.000
0.500 0.000 0.000
0.500 0.500 0.500
```

---

# 4
This record from Alexandria describes CrCuRe after structural relaxation. The functional is PBE-GGA.

Geometry as POSCAR:
```
CrCuRe
1.0
4.213 0.000 0.000
-2.106 3.648 0.000
0.000 0.000 2.545
Cr Cu Re
1 1 1
Direct
0.000 0.000 0.987
0.333 0.667 0.303
0.667 0.333 0.710
```

Output
Formation energy (eV per atom): 0.182
ΔE to the lowest computed polymorph (eV per atom): 0.000

---

# 5
This record from Alexandria describes BaSiRh2 after structural relaxation. The functional is PBE-GGA.

Geometry as POSCAR:
```
BaSiRh2
1.0
7.414 0.003 0.006
-2.822 3.615 -0.014
1.771 1.422 2.863
Ba Rh Si
1 2 1
Direct
0.500 0.500 0.000
0.000 0.000 0.000
0.500 0.000 0.500
0.000 0.500 0.500
```

Output
Formation energy from raw total energies (meV/atom): 185.2

---

# 6
This record from Alexandria describes Be2IrPb after structural relaxation. The functional is PBE-GGA.

Geometry as POSCAR:
```
Be2IrPb
1.0
-2.538 0.774 -6.117
2.003 -0.158 -6.357
-0.648 -2.440 6.171
Pb Be Ir
1 2 1
Direct
0.304 0.804 0.500
0.025 0.025 0.000
0.655 0.155 0.500
0.517 0.517 0.000
```

Output
Formation energy (eV per atom): 0.098

---

# 7
This record from Alexandria describes BeSi2Ir after structural relaxation. The functional is PBE-GGA.

Geometry as POSCAR:
```
BeSi2Ir
1.0
-4.178 -6.373 -0.094
-2.164 -7.090 1.767
-4.429 -5.618 2.626
Be Si Ir
1 2 1
Direct
0.250 0.250 0.250
0.997 0.997 0.997
0.503 0.503 0.503
0.750 0.750 0.750
```

Output
Formation energy from raw total energies (meV/atom): -47.2

---

# 8
This record from Alexandria describes BaRhW2 after structural relaxation. The functional is PBE-GGA.

Geometry as POSCAR:
```
BaRhW2
1.0
3.127 0.000 0.000
0.000 4.733 0.000
0.000 0.000 5.467
Ba Rh W
1 1 2
Direct
0.500 0.000 0.500
0.000 0.500 0.500
0.000 0.000 0.000
0.500 0.500 0.000
```

Output
Formation energy (eV per atom): 1.204
ΔE to the lowest computed polymorph (eV per atom): 0.618

---

Number 1: M_tot 0.00 μB per atom, calculated total energy -104.724 eV for the cell shown. Number 2: M_tot 0.00 μB per atom, calculated total energy -71.308 eV for the cell shown. Number 3: M_tot 0.00 μB per atom, calculated total energy -30.330 eV for the cell shown. Number 4: M_tot 0.00 μB per atom, calculated total energy -25.622 eV for the cell shown. Number 5: M_tot 0.00 μB per atom, calculated total energy -21.308 eV for the cell shown. Number 6: M_tot 0.00 μB per atom, calculated total energy -19.630 eV for the cell shown. Number 7: M_tot 0.00 μB per atom, calculated total energy -23.622 eV for the cell shown. Number 8: M_tot 0.02 μB per atom, calculated total energy -30.363 eV for the cell shown.